CaLuMgIn PBE-GGA relaxed; E_tot = -11.9 eV/cell; energy of formation = -0.27 eV per atom
1.0
5.342 0.000 0.000
2.671 4.626 0.000
2.671 1.542 4.362
Ca Lu Mg In
1 1 1 1
Direct
0.750 0.750 0.750 Ca
0.250 0.250 0.250 Lu
0.000 0.000 0.000 Mg
0.500 0.500 0.500 In